1.
# AcTmTl2Se4

A geometry-optimized AcTmTl2Se4 structure (PBE, the Alexandria database).

Cell: 4.3535 7.5612 8.1451 Å, 107.88 90.00 90.00°
Atoms (fractional coordinates):
Ac: 0.5000 0.5000 0.0000
Tm: 0.0000 0.0000 0.0000
Tl: 0.5000 0.0000 0.5000
Tl: 0.0000 0.5000 0.5000
Se: 0.5000 0.2159 0.2044
Se: 0.5000 0.7841 0.7956
Se: 0.0000 0.2407 0.7870
Se: 0.0000 0.7593 0.2130

M_tot in μB per cell: 0.0
SG: No. 10
Formation energy (no corrections) in eV per atom: -1.3819
Total energy in eV/atom: -4.7882

---

2.
# AcTm2Tl3Se6

A geometry-optimized AcTm2Tl3Se6 structure (PBE, the Alexandria database).

Cell: 7.4173 7.4173 8.1403 Å, 98.76 98.76 119.87°
Atoms (fractional coordinates):
Ac: 0.0000 0.0000 0.0000
Tm: 0.3333 0.6667 0.0000
Tm: 0.6667 0.3333 0.0000
Tl: 0.1625 0.8375 0.5000
Tl: 0.8375 0.1625 0.5000
Tl: 0.5000 0.5000 0.5000
Se: 0.9307 0.5741 0.7923
Se: 0.7113 0.7113 0.2029
Se: 0.0693 0.4259 0.2077
Se: 0.5741 0.9307 0.7923
Se: 0.2887 0.2887 0.7971
Se: 0.4259 0.0693 0.2077

M_tot in μB per cell: 0.0
SG: No. 12
Formation energy (no corrections) in eV per atom: -1.3831
Total energy in eV/atom: -4.8045